Record 1
PBE+U TlVSiO4, relaxed; N(E_F) = 0.00 states/eV per cell
1.0
-1.9995 -3.4820 3.2365
-1.8082 -2.8793 -4.2148
8.3913 -0.8625 -3.0107
Si O V Tl
2 8 2 2
direct
0.1861 0.7500 0.3579 Si
0.8139 0.2500 0.6421 Si
0.6569 0.2500 0.7609 O
0.9647 0.5187 0.3472 O
0.9647 0.9813 0.3472 O
0.5085 0.2500 0.4449 O
0.4915 0.7500 0.5551 O
0.3431 0.7500 0.2391 O
0.0353 0.4813 0.6528 O
0.0353 0.0187 0.6528 O
0.7755 0.7500 0.4634 V
0.2245 0.2500 0.5366 V
0.5872 0.7500 0.8665 Tl
0.4128 0.2500 0.1335 Tl

***

Record 2
A relaxed Tl2VSi2O6 crystal. Source: the Alexandria database, functional PBE+U.

POSCAR file:
```
Tl2VSi2O6
1.0
-5.3583 1.3380 -0.7776
-4.0193 -3.3459 1.9381
-3.1277 2.1654 5.2768
Si Tl O V
2 2 6 1
direct
0.5716 0.5716 0.2852 Si
0.4284 0.4284 0.7148 Si
0.7813 0.7813 0.6561 Tl
0.2187 0.2187 0.3439 Tl
0.2355 0.2355 0.8026 O
0.2355 0.7264 0.8026 O
0.7264 0.2355 0.8026 O
0.7645 0.2736 0.1974 O
0.2736 0.7645 0.1974 O
0.7645 0.7645 0.1974 O
0.0000 0.0000 0.0000 V
```

***

Record 3
PBE+U TlSiWO2, relaxed; N(E_F) = 2.06 states/eV per cell
1.0
3.9042 0.0000 0.0000
0.0000 6.3882 0.0000
0.0000 0.0000 3.9042
Si Tl O W
1 1 2 1
direct
0.5000 0.5000 0.5000 Si
0.0000 0.5000 0.0000 Tl
0.0000 0.0000 0.5000 O
0.5000 0.0000 0.0000 O
0.0000 0.0000 0.0000 W

***

Record 4
PBE+U TlSiWO6, relaxed; N(E_F) = 2.83 states/eV per cell
1.0
5.0691 0.0000 -0.0001
2.5346 4.3900 0.0001
0.0001 -0.0001 5.3126
O Si Tl W
6 1 1 1
direct
0.6239 0.3963 0.6944 O
0.6239 0.9798 0.3056 O
0.3963 0.9798 0.6944 O
0.9798 0.3963 0.3056 O
0.3963 0.6239 0.3056 O
0.9798 0.6239 0.6944 O
0.6666 0.6667 0.5000 Si
0.0000 0.0000 0.0000 Tl
0.3333 0.3333 0.5000 W

***

| no. | VASP energy (eV per atom) |
| --- | --- |
| 1 | -7.0062 |
| 2 | -6.5973 |
| 3 | -5.4348 |
| 4 | -6.7972 |